(1)
First-principles (PBE) data for Ca3Ac4Ru2 after structural relaxation, as listed in Alexandria via LeMat-Bulk.

Calculated values
- E_tot: -0.1683 hartree per atom
- D(E_F): 26.9 states/eV/cell

Geometry as CIF:
```
data_Ca3Ac4Ru2
_chemical_formula_sum 'Ca12 Ac16 Ru8'
_cell_length_a 15.917
_cell_length_b 10.978
_cell_length_c 8.298
_cell_angle_alpha 90.00
_cell_angle_beta 99.76
_cell_angle_gamma 90.00
_space_group_name_H-M_alt 'C 1 2/c 1'
_space_group_IT_number 15
loop_
_space_group_symop_operation_xyz
'x,y,z'
'-x,-y,-z'
'-x,y,-z+1/2'
'x,-y,z+1/2'
'x+1/2,y+1/2,z'
'-x+1/2,-y+1/2,-z'
'-x+1/2,y+1/2,-z+1/2'
'x+1/2,-y+1/2,z+1/2'
loop_
_atom_site_label
_atom_site_type_symbol
_atom_site_fract_x
_atom_site_fract_y
_atom_site_fract_z
Ca1 Ca 0.000 0.057 0.250
Ca2 Ca 0.092 0.366 0.142
Ac1 Ac 0.147 0.276 0.610
Ac2 Ac 0.209 0.057 0.018
Ru1 Ru 0.175 0.148 0.313
```

=====

(2)
First-principles (PBE) data for Hf6SnAs after structural relaxation, as listed in Alexandria via LeMat-Bulk.

Calculated values
- E_tot: -0.3224 hartree per atom
- D(E_F): 17.4 states/eV/cell

Geometry as CIF:
```
data_Hf6SnAs
_chemical_formula_sum 'Hf18 Sn3 As3'
_cell_length_a 8.4291
_cell_length_b 8.4291
_cell_length_c 8.4058
_cell_angle_alpha 90.00
_cell_angle_beta 90.00
_cell_angle_gamma 120.00
_space_group_name_H-M_alt 'R -3'
_space_group_IT_number 148
_space_group_name_Hall '-R 3'
loop_
_atom_site_label
_atom_site_type_symbol
_atom_site_fract_x
_atom_site_fract_y
_atom_site_fract_z
Hf1 Hf 0.0301 0.7740 0.2069
Sn1 Sn 0.0000 0.0000 0.5000
As1 As 0.0000 0.0000 0.0000
```

=====

(3)
First-principles (PBE) data for KGeBr3 after structural relaxation, as listed in Alexandria via LeMat-Bulk.

Calculated values
- Formation energy (no corrections): -1022.6 meV/atom
- D(E_F): 0.0 states/eV/cell

Geometry as CIF:
```
data_KGeBr3
_chemical_formula_sum 'K2 Ge2 Br6'
_cell_length_a 5.365
_cell_length_b 8.354
_cell_length_c 8.860
_cell_angle_alpha 89.66
_cell_angle_beta 79.90
_cell_angle_gamma 87.39
_space_group_name_H-M_alt 'P 1'
_space_group_IT_number 1
loop_
_space_group_symop_operation_xyz
'x,y,z'
loop_
_atom_site_label
_atom_site_type_symbol
_atom_site_fract_x
_atom_site_fract_y
_atom_site_fract_z
K1 K 0.000 0.000 0.000
K2 K 0.011 0.429 0.399
Ge1 Ge 0.561 0.489 0.864
Ge2 Ge 0.603 0.974 0.497
Br1 Br 0.134 0.397 0.003
Br2 Br 0.429 0.575 0.613
Br3 Br 0.522 0.769 0.981
Br4 Br 0.573 0.189 0.291
Br5 Br 0.841 0.142 0.664
Br6 Br 0.992 0.834 0.349
```

=====

(4)
First-principles (PBE) data for Pr2MgSi3Au12 after structural relaxation, as listed in Alexandria via LeMat-Bulk.

Calculated values
- Formation energy (no corrections): -153.7 meV/atom
- D(E_F): 15.8 states/eV/cell

Geometry as CIF:
```
data_Pr2MgSi3Au12
_chemical_formula_sum 'Pr6 Mg3 Si9 Au36'
_cell_length_a 8.9773
_cell_length_b 8.9773
_cell_length_c 17.6917
_cell_angle_alpha 90.00
_cell_angle_beta 90.00
_cell_angle_gamma 120.00
_space_group_name_H-M_alt 'R -3 m'
_space_group_IT_number 166
_space_group_name_Hall '-R 3 2"'
loop_
_atom_site_label
_atom_site_type_symbol
_atom_site_fract_x
_atom_site_fract_y
_atom_site_fract_z
Pr1 Pr 0.0000 0.0000 0.1043
Mg1 Mg 0.0000 0.0000 0.5000
Si1 Si 0.0000 0.5000 0.0000
Au1 Au 0.0108 0.5054 0.8623
Au2 Au 0.0271 0.5135 0.3203
```